# PBE PPd2Pb, relaxed
data_PPd2Pb
_cell_length_a 6.5946
_cell_length_b 6.5946
_cell_length_c 6.5946
_cell_angle_alpha 90.00
_cell_angle_beta 90.00
_cell_angle_gamma 90.00
_symmetry_space_group_name_H-M 'F m -3 m'
_symmetry_Int_Tables_number 225
_symmetry_space_group_name_Hall '-F 4 2 3'
loop_
_atom_site_label
_atom_site_type_symbol
_atom_site_fract_x
_atom_site_fract_y
_atom_site_fract_z
P1 P 0.0000 0.0000 0.0000
Pd1 Pd 0.2500 0.2500 0.2500
Pb1 Pb 0.0000 0.0000 0.5000
# theoretical density	10.4	Mg/m³
# E_form	4.5	kJ/mol of formula units

=====

# PBE P3PdPb, relaxed
data_P3PdPb
_cell_length_a 4.7793
_cell_length_b 4.7793
_cell_length_c 4.7793
_cell_angle_alpha 90.00
_cell_angle_beta 90.00
_cell_angle_gamma 90.00
_symmetry_space_group_name_H-M 'P m -3 m'
_symmetry_Int_Tables_number 221
_symmetry_space_group_name_Hall '-P 4 2 3'
loop_
_atom_site_label
_atom_site_type_symbol
_atom_site_fract_x
_atom_site_fract_y
_atom_site_fract_z
P1 P 0.0000 0.0000 0.5000
Pd1 Pd 0.0000 0.0000 0.0000
Pb1 Pb 0.5000 0.5000 0.5000
# theoretical density	6.2	Mg/m³
# E above lowest polymorph	0.000	eV per atom
# E_form	302.2	kJ/mol of formula units

=====

# PBE PPdPb3, relaxed
data_PPdPb3
_cell_length_a 5.3035
_cell_length_b 5.3035
_cell_length_c 5.3035
_cell_angle_alpha 90.00
_cell_angle_beta 90.00
_cell_angle_gamma 90.00
_symmetry_space_group_name_H-M 'P m -3 m'
_symmetry_Int_Tables_number 221
_symmetry_space_group_name_Hall '-P 4 2 3'
loop_
_atom_site_label
_atom_site_type_symbol
_atom_site_fract_x
_atom_site_fract_y
_atom_site_fract_z
P1 P 0.0000 0.0000 0.0000
Pd1 Pd 0.5000 0.5000 0.5000
Pb1 Pb 0.0000 0.5000 0.5000
# theoretical density	8.4	Mg/m³
# E above lowest polymorph	0.000	eV per atom
# E_form	169.6	kJ/mol of formula units

=====

# PBE PPd2Pb, relaxed
data_PPd2Pb
_cell_length_a 4.7490
_cell_length_b 4.7490
_cell_length_c 15.1999
_cell_angle_alpha 90.00
_cell_angle_beta 90.00
_cell_angle_gamma 90.00
_symmetry_space_group_name_H-M 'I -4 2 d'
_symmetry_Int_Tables_number 122
_symmetry_space_group_name_Hall 'I -4 2bw'
loop_
_atom_site_label
_atom_site_type_symbol
_atom_site_fract_x
_atom_site_fract_y
_atom_site_fract_z
P1 P 0.0000 0.0000 0.0000
Pd1 Pd 0.1506 0.2500 0.1250
Pb1 Pb 0.0000 0.0000 0.5000
# theoretical density	8.7	Mg/m³
# E_form	-73.8	kJ/mol of formula units